Crystalline InMoIr at its relaxed geometry, computed with PBE.

abc: 2.9140 2.9140 6.9537
angles: 90.00 90.00 120.00
Last column: nearest neighbours and their distance in Å.
Sites, in units of the cell vectors:
1 In 0.0000 0.0000 0.0022  6 In 2.91, 3 Ir 2.95, 3 Mo 2.99
2 Ir 0.3333 0.6667 0.3504  3 Mo 2.66, 6 Ir 2.91, 3 In 2.95
3 Mo 0.6667 0.3333 0.6473  3 Ir 2.66, 6 Mo 2.91

---

Crystalline InMoIr2 at its relaxed geometry, computed with PBE.

abc: 2.8707 2.8707 7.9104
angles: 90.00 90.00 90.00
Last column: nearest neighbours and their distance in Å.
Sites, in units of the cell vectors:
1 In 0.5000 0.5000 0.7587  4 Ir 2.84, 4 In 2.87, 4 Mo 3.02
2 Ir 0.0000 0.0000 0.0095  8 Ir 2.82-2.87, 4 In 2.84
3 Ir 0.5000 0.5000 0.2562  4 Mo 2.67, 8 Ir 2.82-2.87
4 Mo 0.0000 0.0000 0.4755  4 Ir 2.67, 4 Mo 2.87

---

Crystalline InMoIr2 at its relaxed geometry, computed with PBE.

abc: 2.8415 5.0112 5.5785
angles: 54.58 90.00 90.00
Last column: nearest neighbours and their distance in Å.
Sites, in units of the cell vectors:
1 In 0.0000 0.0000 0.5000  6 Ir 2.79-2.82, 2 In 2.84, 4 Mo 2.88
2 Ir 0.0000 0.0000 0.0000  2 In 2.79, 4 Mo 2.82, 6 Ir 2.84-2.88
3 Ir 0.5000 0.5000 0.0000  2 Mo 2.79, 4 In 2.82, 6 Ir 2.84-2.88
4 Mo 0.5000 0.5000 0.5000  6 Ir 2.79-2.82, 2 Mo 2.84, 4 In 2.88

---

Crystalline InMoIr2 at its relaxed geometry, computed with PBE.

abc: 9.1579 9.1579 9.1579
angles: 18.14 18.14 18.14
Last column: nearest neighbours and their distance in Å.
Sites, in units of the cell vectors:
1 In 0.7500 0.7500 0.7500  6 In 2.89, 6 Ir 2.90
2 Ir 0.9956 0.9956 0.9956  3 Mo 2.71, 6 Ir 2.89, 3 In 2.90
3 Ir 0.5044 0.5044 0.5044  3 Mo 2.71, 6 Ir 2.89, 3 In 2.90
4 Mo 0.2500 0.2500 0.2500  6 Ir 2.71, 6 Mo 2.89

---

One value per record, in order, for ΔH_f (0 K): 0.16; 0.11; 0.22; 0.02 eV/atom.
One value per record, in order, for total magnetic moment: 0.00; 0.00; 0.00; 0.00 μB/cell.
One value per record, in order, for uncorrected energy: -21.94; -30.85; -30.42; -31.22 eV for the cell shown.